[1]
YTmZn4: relaxed, PBE-GGA.

Crystal system = monoclinic
Magnetization = 0.01 μB/f.u.
DFT formation energy = -392 meV/atom

```
6
Lattice="3.465 0.000 0.000 0.000 4.447 0.000 0.000 0.000 7.692" Properties=species:S:1:pos:R:3 pbc="T T T"
Tm 0.000 0.000 0.000
Y 0.000 2.223 3.846
Zn 1.740 2.223 1.269
Zn 1.725 0.000 2.548
Zn 1.740 0.000 5.143
Zn 1.725 2.223 6.423
```

***

[2]
LuTeAuO: relaxed, PBE-GGA.

Crystal system = orthorhombic
Magnetization = 0.00 μB/f.u.
Distance to the lowest polymorph of the same formula = 0.039 eV/atom

```
16
Lattice="-1.681 -3.569 -3.958 3.173 -4.005 2.263 -7.713 -2.822 5.820" Properties=species:S:1:pos:R:3 pbc="T T T"
Au -3.065 -2.410 3.474
Au -3.905 -4.194 1.495
Au -1.475 -4.417 4.609
Au -2.315 -6.202 2.629
Lu -1.203 -1.178 -0.399
Lu -0.460 -4.967 -1.244
Lu -5.761 -5.429 5.369
Lu -8.191 -5.212 2.260
O 0.794 -1.003 0.567
O -0.046 -2.787 -1.413
O 2.379 -3.003 1.697
O 1.538 -4.787 -0.282
Te -3.416 -3.465 -1.343
Te -1.010 -3.691 1.784
Te -5.210 -6.705 2.340
Te -5.978 -2.926 3.204
```

***

[3]
CuBr: relaxed, PBE-GGA.

Final energy = -2.61 eV per atom
Crystal system = hexagonal

```
4
Lattice="-2.133 -0.076 -3.063 2.969 -2.248 0.264 -3.669 -4.532 2.668" Properties=species:S:1:pos:R:3 pbc="T T T"
Br 0.000 0.000 0.000
Br -1.834 -2.266 1.334
Cu 0.351 -2.657 -0.178
Cu -3.184 -4.199 0.047
```

***

Number 1: calculated density 7.3 g/cm3. Number 2: calculated density 10.9 g/cm3. Number 3: calculated density 6.2 g/cm3.